Here is an optimized crystal structure of Li5SbPd6 from Alexandria via LeMat-Bulk. Energies are from PBE-GGA.

Cell lengths 4.3534, 6.0966, 6.7791 Å; angles 90.00, 108.21, 90.07 degrees
Space group P-1 (No. 2)
Asymmetric unit:
1 Li 0.0000 0.0000 0.0000 [1 per cell]
2 Li 0.3305 0.5000 0.6599 [2 per cell]
3 Li 0.3353 0.0000 0.6711 [2 per cell]
4 Sb 0.0000 0.5000 0.0000 [1 per cell]
5 Pd 0.1692 0.2413 0.3380 [2 per cell]
6 Pd 0.1692 0.7587 0.3382 [2 per cell]
7 Pd 0.5000 0.2422 0.0000 [2 per cell]

ΔE to the lowest computed polymorph = 0 meV per atom
Fermi-level density of states = 0.238 states/eV/atom
formation energy from raw total energies = -0.521 eV per atom

Here is an optimized crystal structure of TiZnH12O6F6 from Alexandria via LeMat-Bulk. Energies are from PBE-GGA.

Cell lengths 9.7320, 9.7320, 10.0092 Å; angles 90.00, 90.00, 120.00 degrees
Space group R-3 (No. 148, hexagonal axes)
Asymmetric unit:
1 Ti 0.0000 0.0000 0.0000 [3 per cell]
2 Zn 0.0000 0.0000 0.5000 [3 per cell]
3 H 0.0190 0.8336 0.2850 [18 per cell]
4 H 0.0435 0.4545 0.2660 [18 per cell]
5 O 0.0026 0.8213 0.3823 [18 per cell]
6 F 0.0399 0.8649 0.1098 [18 per cell]

calculated total energy = -5.15 eV per atom
Fermi-level density of states = 0.000 states/eV/atom

Here is an optimized crystal structure of Li2Pu3Pt3 from Alexandria via LeMat-Bulk. Energies are from PBE-GGA.

Cell lengths 7.5604, 7.5604, 5.5162 Å; angles 90.00, 90.00, 120.00 degrees
Space group P6_3/mcm (No. 193)
Asymmetric unit:
1 Li 0.3333 0.6667 0.0000 [4 per cell]
2 Pu 0.0000 0.1833 0.2500 [6 per cell]
3 Pt 0.0000 0.4409 0.7500 [6 per cell]

ΔE to the lowest computed polymorph = 434 meV per atom
energy of formation = -107 meV/atom
Fermi-level density of states = 1.369 states/eV/atom